Record 1
VASP calculation (PBE-GGA) on a geometry-optimized LiCdInGa structure.

Cell: 4.8947 4.8947 4.8947 Å, 60.00 60.00 60.00°
Fractional positions:
1 Li 0.0000 0.0000 0.0000
2 Cd 0.7500 0.7500 0.7500
3 In 0.2500 0.2500 0.2500
4 Ga 0.5000 0.5000 0.5000

Summary:
- V: 20.73 Å³/atom
- E: -2.24 eV/atom
- Symmetry: F-43m

---

Record 2
VASP calculation (PBE-GGA) on a geometry-optimized Li2Cd2InGaPd2 structure.

Cell: 4.5515 4.5515 6.5089 Å, 90.00 90.00 90.00°
Fractional positions:
1 Li 0.0000 0.5000 0.2344
2 Li 0.5000 0.0000 0.7656
3 Cd 0.0000 0.0000 0.0000
4 Cd 0.5000 0.5000 0.5000
5 In 0.0000 0.0000 0.5000
6 Ga 0.5000 0.5000 0.0000
7 Pd 0.0000 0.5000 0.7626
8 Pd 0.5000 0.0000 0.2374

Summary:
- V: 16.85 Å³/atom
- E: -3.17 eV/atom
- Symmetry: P-4m2

---

Record 3
VASP calculation (PBE-GGA) on a geometry-optimized Li2Cd2InGaPt2 structure.

Cell: 4.5466 4.5466 6.4905 Å, 90.00 90.00 90.00°
Fractional positions:
1 Li 0.0000 0.5000 0.2322
2 Li 0.5000 0.0000 0.7678
3 Cd 0.0000 0.0000 0.0000
4 Cd 0.5000 0.5000 0.5000
5 In 0.0000 0.0000 0.5000
6 Ga 0.5000 0.5000 0.0000
7 Pt 0.0000 0.5000 0.7658
8 Pt 0.5000 0.0000 0.2342

Summary:
- V: 16.77 Å³/atom
- Total magnetization: 0.0 μB/f.u.
- E: -3.43 eV/atom
- Symmetry: P-4m2

---

Record 4
VASP calculation (PBE-GGA) on a geometry-optimized Tb3MgCd2InGa2 structure.

Cell: 4.5305 7.3249 7.3249 Å, 119.97 90.00 90.00°
Fractional positions:
1 Tb 0.0000 0.0000 0.0000
2 Tb 0.0000 0.1272 0.5660
3 Tb 0.0000 0.5660 0.1272
4 Mg 0.5000 0.3194 0.3194
5 Cd 0.5000 0.5646 0.8192
6 Cd 0.5000 0.8192 0.5646
7 In 0.0000 0.5620 0.5620
8 Ga 0.5000 0.2311 0.9031
9 Ga 0.5000 0.9031 0.2311

Summary:
- V: 23.40 Å³/atom
- Total magnetization: 0.0 μB/f.u.
- E: -3.39 eV/atom
- Symmetry: Amm2

---

Record 5
VASP calculation (PBE-GGA) on a geometry-optimized Na4Cd2InGa structure.

Cell: 5.0885 5.0885 7.2620 Å, 90.00 90.00 90.00°
Fractional positions:
1 Na 0.0000 0.0000 0.0000
2 Na 0.0000 0.5000 0.7378
3 Na 0.5000 0.0000 0.2622
4 Na 0.5000 0.5000 0.5000
5 Cd 0.0000 0.5000 0.2605
6 Cd 0.5000 0.0000 0.7395
7 In 0.5000 0.5000 0.0000
8 Ga 0.0000 0.0000 0.5000

Summary:
- V: 23.50 Å³/atom
- E: -1.71 eV/atom
- Symmetry: P-4m2

---

Record 6
VASP calculation (PBE-GGA) on a geometry-optimized CdInGaSe4 structure.

Cell: 7.0344 7.0344 7.0344 Å, 129.52 129.52 74.17°
Fractional positions:
1 Cd 0.0000 0.0000 0.0000
2 In 0.5000 0.5000 0.0000
3 Ga 0.7500 0.2500 0.5000
4 Se 0.1130 0.1079 0.5080
5 Se 0.3949 0.8870 0.9948
6 Se 0.5999 0.6051 0.4920
7 Se 0.8921 0.4001 0.0052

Summary:
- V: 28.85 Å³/atom
- E: -3.55 eV/atom
- Symmetry: I-4

---

Record 7
VASP calculation (PBE-GGA) on a geometry-optimized Sm3Cd3InGa2 structure.

Cell: 7.4339 7.4339 4.5338 Å, 90.00 90.00 120.00°
Fractional positions:
1 Sm 0.0000 0.5665 0.0000
2 Sm 0.4335 0.4335 0.0000
3 Sm 0.5665 0.0000 0.0000
4 Cd 0.0000 0.2549 0.5000
5 Cd 0.2549 0.0000 0.5000
6 Cd 0.7451 0.7451 0.5000
7 In 0.0000 0.0000 0.0000
8 Ga 0.3333 0.6667 0.5000
9 Ga 0.6667 0.3333 0.5000

Summary:
- V: 24.11 Å³/atom
- Total magnetization: 0.0 μB/f.u.
- E: -3.36 eV/atom
- Symmetry: P-62m

---

Record 8
VASP calculation (PBE-GGA) on a geometry-optimized Sm3Cd3In2Ga structure.

Cell: 7.5897 7.5897 4.5598 Å, 90.00 90.00 120.00°
Fractional positions:
1 Sm 0.0000 0.5872 0.0000
2 Sm 0.4128 0.4128 0.0000
3 Sm 0.5872 0.0000 0.0000
4 Cd 0.0000 0.2409 0.5000
5 Cd 0.2409 0.0000 0.5000
6 Cd 0.7591 0.7591 0.5000
7 In 0.3333 0.6667 0.5000
8 In 0.6667 0.3333 0.5000
9 Ga 0.0000 0.0000 0.0000

Summary:
- V: 25.27 Å³/atom
- Total magnetization: 0.0 μB/f.u.
- E: -3.27 eV/atom
- Symmetry: P-62m